# TlMoPOsRu

A relaxed TlMoPOsRu crystal (PBE, Alexandria via LeMat-Bulk).

a b c (Å): 3.052 4.727 6.652
angles (deg): 78.46 76.51 89.92
Positions (direct):
Os 0.912 0.582 0.920
P 0.200 0.997 0.347
Tl 0.470 0.113 0.808
Mo 0.255 0.528 0.224
Ru 0.601 0.690 0.540

Summary:
Magnetic moment in μB/cell: 0.000
DFT total energy in eV/atom: -7.4174

***

# FePt2Rh2

A relaxed FePt2Rh2 crystal (PBE, Alexandria via LeMat-Bulk).

a b c (Å): 4.277 4.277 4.706
angles (deg): 73.34 73.34 65.69
Each line ends with the local moment (μB).
Positions (direct):
Rh 0.401 0.901 0.807  0.15
Rh 0.599 0.099 0.193  0.15
Pt 0.803 0.303 0.594  0.06
Pt 0.197 0.697 0.406  0.06
Fe 0.000 0.500 0.000  3.06

Summary:
Magnetic moment in μB/cell: 3.506
DFT total energy in eV/atom: -7.0159

***

# NbAlCr2Pd

A relaxed NbAlCr2Pd crystal (PBE, Alexandria via LeMat-Bulk).

a b c (Å): 4.548 4.401 4.548
angles (deg): 90.00 90.00 90.00
Positions (direct):
Al 0.000 0.500 0.000
Cr 0.500 0.000 0.000
Cr 0.000 0.000 0.500
Pd 0.000 0.000 0.000
Nb 0.500 0.500 0.500

Summary:
Magnetic moment in μB/cell: 0.000
DFT total energy in eV/atom: -6.3268

***

# Rb12RhO7

A relaxed Rb12RhO7 crystal (PBE, Alexandria via LeMat-Bulk).

a b c (Å): 10.156 10.156 10.156
angles (deg): 109.73 109.73 109.73
Each line ends with the local moment (μB).
Positions (direct):
O 0.918 0.962 0.767  0.10
O 0.233 0.082 0.038  0.10
O 0.082 0.038 0.233  0.10
O 0.038 0.233 0.082  0.10
O 0.962 0.767 0.918  0.10
O 0.500 0.500 0.500  0.00
O 0.767 0.918 0.962  0.10
Rb 0.238 0.809 0.936  0.00
Rb 0.762 0.191 0.064  0.00
Rb 0.587 0.820 0.640  0.00
Rb 0.820 0.640 0.587  0.00
Rb 0.064 0.762 0.191  0.00
Rb 0.640 0.587 0.820  0.00
Rb 0.809 0.936 0.238  0.00
Rb 0.360 0.413 0.180  0.00
Rb 0.936 0.238 0.809  0.00
Rb 0.191 0.064 0.762  0.00
Rb 0.413 0.180 0.360  0.00
Rb 0.180 0.360 0.413  0.00
Rh 0.000 0.000 0.000  0.98

Summary:
Magnetic moment in μB/cell: 1.348
Uncorrected formation energy in eV/atom: -0.82
DFT total energy in eV/atom: -3.5034